1.
Ho8CuSb2: optimized geometry, PBE.

Computed properties:
Fermi-level density of states (states/eV/cell): 10.55
Raw formation energy (meV/atom): -369
Space-group type: C2/m (12)

abc: 9.6263 9.6263 6.9445
angles: 100.32 100.32 28.86
Atoms (fractional coordinates):
1 Ho 0.0100 0.0100 0.2762
2 Ho 0.2150 0.2150 0.8393
3 Ho 0.3509 0.3509 0.4756
4 Ho 0.4068 0.4068 0.0064
5 Ho 0.5932 0.5932 0.9936
6 Ho 0.6491 0.6491 0.5244
7 Ho 0.7850 0.7850 0.1607
8 Ho 0.9900 0.9900 0.7238
9 Cu 0.5000 0.5000 0.5000
10 Sb 0.1817 0.1817 0.2716
11 Sb 0.8183 0.8183 0.7284

---

2.
Ho2CuSb: optimized geometry, PBE.

Computed properties:
E above lowest polymorph (meV/atom): 0
Fermi-level density of states (states/eV/cell): 8.17
Raw formation energy (meV/atom): -637
Space-group type: P2_1/m (11)

abc: 6.0074 4.1342 8.3197
angles: 90.00 110.52 90.00
Atoms (fractional coordinates):
1 Ho 0.1886 0.2500 0.4085
2 Ho 0.2607 0.7500 0.0562
3 Ho 0.7393 0.2500 0.9438
4 Ho 0.8114 0.7500 0.5915
5 Cu 0.1397 0.2500 0.7907
6 Cu 0.8603 0.7500 0.2093
7 Sb 0.3753 0.7500 0.7082
8 Sb 0.6247 0.2500 0.2918

---

3.
HoCu2Sb2: optimized geometry, PBE.

Computed properties:
Fermi-level density of states (states/eV/cell): 2.72
Raw formation energy (meV/atom): -287
Space-group type: C2/c (15)

abc: 6.9867 6.9867 6.2078
angles: 114.99 114.99 99.78
Atoms (fractional coordinates):
1 Ho 0.1448 0.8552 0.7500
2 Ho 0.8552 0.1448 0.2500
3 Cu 0.1963 0.5090 0.2580
4 Cu 0.4910 0.8037 0.2420
5 Cu 0.5090 0.1963 0.7580
6 Cu 0.8037 0.4910 0.7420
7 Sb 0.1368 0.8632 0.2500
8 Sb 0.4394 0.5606 0.7500
9 Sb 0.5606 0.4394 0.2500
10 Sb 0.8632 0.1368 0.7500

---

raw formation energy of number 2 (Ho2CuSb)?
-637 meV/atom